Entry 1:
A plane-wave DFT calculation with PBE-GGA was carried out for a geometry-optimized PmTm3Cu structure.

Output
E_form ... 0.071 eV per atom
Total magnetic moment ... 0.00 μB/f.u.
Crystal system ... cubic

The structure in extended XYZ format:
```
5
Lattice="5.314 0.000 0.000 0.000 5.314 0.000 0.000 0.000 5.314" Properties=species:S:1:pos:R:3 pbc="T T T"
Pm 0.000 0.000 0.000
Tm 0.000 2.657 2.657
Tm 2.657 0.000 2.657
Tm 2.657 2.657 0.000
Cu 2.657 2.657 2.657
```

---

Entry 2:
A plane-wave DFT calculation with PBE-GGA was carried out for a geometry-optimized La2Pr2Sm7 structure.

Output
Polymorph energy (0 for the lowest one) ... 0.52 kcal/mol of atoms
E_form ... 0.160 eV per atom
Total magnetic moment ... 0.00 μB/f.u.
Crystal system ... orthorhombic

The structure in extended XYZ format:
```
11
Lattice="-1.827 9.198 5.820 1.827 -9.198 5.820 1.827 9.198 -5.820" Properties=species:S:1:pos:R:3 pbc="T T T"
La 0.000 3.767 0.000
La 0.000 14.629 0.000
Pr 0.000 0.000 3.265
Pr 0.000 9.198 2.010
Sm 1.827 -2.976 2.794
Sm 1.827 6.862 0.000
Sm 1.827 2.976 2.794
Sm 0.000 6.055 2.961
Sm 0.000 2.336 5.821
Sm 0.000 12.341 2.961
Sm 0.000 0.000 11.201
```

---

Entry 3:
A plane-wave DFT calculation with PBE-GGA was carried out for a geometry-optimized KAs2PtBr structure.

Output
Polymorph energy (0 for the lowest one) ... 43.12 kcal/mol of atoms
Formation energy without anion corrections ... 1655 meV/atom
Total magnetic moment ... 2.03 μB/f.u.
Crystal system ... tetragonal

The structure in extended XYZ format:
```
5
Lattice="5.690 0.000 0.000 0.000 5.690 0.000 0.000 0.000 5.450" Properties=species:S:1:pos:R:3 pbc="T T T"
K 0.000 0.000 0.000
As 0.000 2.845 0.000
As 2.845 0.000 0.000
Pt 2.845 2.845 2.725
Br 0.000 0.000 2.725
```

---

Entry 4:
A plane-wave DFT calculation with PBE-GGA was carried out for a geometry-optimized YHoMgSc structure.

Output
Polymorph energy (0 for the lowest one) ... 0.00 kcal/mol of atoms
E_form ... -0.017 eV per atom
Total magnetic moment ... 0.00 μB/f.u.
Crystal system ... orthorhombic

The structure in extended XYZ format:
```
4
Lattice="3.551 0.000 0.000 0.000 3.567 0.000 0.000 0.000 8.829" Properties=species:S:1:pos:R:3 pbc="T T T"
Y 0.000 0.000 0.000
Ho 0.000 0.000 4.423
Mg 1.776 1.783 2.223
Sc 1.776 1.783 6.602
```